Pd8PtPb2: relaxed, PBE.

POSCAR file:
```
Pd8PtPb2
1.0
-1.779 -3.931 2.622
5.452 -1.738 5.702
1.648 1.375 7.789
Pb Pd Pt
2 8 1
direct
0.340 0.819 0.819
0.660 0.181 0.181
0.699 0.166 0.661
0.923 0.738 0.738
0.699 0.661 0.166
0.215 0.421 0.421
0.301 0.834 0.339
0.077 0.262 0.262
0.785 0.579 0.579
0.301 0.339 0.834
0.000 0.000 0.000
```

Values from the calculation:
E_form ... -0.040 eV/atom
Volume ... 17.74 Å³/atom
Energy above the most stable polymorph in this dataset ... 0.117 eV/atom
Final energy ... -5.040 eV/atom
ρ ... 12.428 g/cm³
DOS at the Fermi energy ... 10.91 states/eV/f.u.